An optimized crystal structure of TlCdCu2. Source: Alexandria, functional PBE.

Its total DFT energy (no corrections) is -10.52 eV per cell. The volume comes out at 71.1 Å³/cell.

The structure belongs to space group P4/mmm (No. 123); the cell edges are 4.4408, 4.4408 and 3.6038 Å and the angles 90.00°, 90.00° and 90.00°. The asymmetric unit holds Tl at (0.0000, 0.0000, 0.0000), Cd at (0.5000, 0.5000, 0.0000) and Cu at (0.0000, 0.5000, 0.5000).